The following is a PBEsol calculation of a relaxed FeTeW crystal, from Alexandria via LeMat-Bulk.

ΔE_f (raw)	1.0955	eV/atom
M_tot	1.90	μB per formula unit

Lattice parameters (Å, degrees): 4.2500 4.2500 4.2500 60.00 60.00 60.00
Closest atoms and distances in Å follow each position.
Fractional positions:
Fe: 0.5000 0.5000 0.5000  4 Te 2.60
Te: 0.7500 0.7500 0.7500  4 Fe 2.60, 4 W 2.60
W: 0.0000 0.0000 0.0000  4 Te 2.60



The following is a PBEsol calculation of a relaxed Ba2DyWO6 crystal, from Alexandria via LeMat-Bulk.

ΔE_f (raw)	-2.9002	eV/atom
M_tot	0.00	μB per formula unit

Lattice parameters (Å, degrees): 5.9220 5.9220 5.9220 60.00 60.00 60.00
Closest atoms and distances in Å follow each position.
Fractional positions:
O: 0.7654 0.7654 0.2346  1 W 1.96
W: 0.0000 0.0000 0.0000  6 O 1.96
O: 0.2346 0.2346 0.7654  1 W 1.96
O: 0.2346 0.7654 0.2346  1 W 1.96
O: 0.2346 0.7654 0.7654  1 W 1.96
Ba: 0.2500 0.2500 0.2500  12 O 2.96
O: 0.7654 0.2346 0.2346  1 W 1.96
Ba: 0.7500 0.7500 0.7500  12 O 2.96
O: 0.7654 0.2346 0.7654  1 W 1.96
Dy: 0.5000 0.5000 0.5000  6 O 2.22



The following is a PBEsol calculation of a relaxed LiReSi2 crystal, from Alexandria via LeMat-Bulk.

ΔE_f (raw)	0.0577	eV/atom
M_tot	0.00	μB per formula unit

Lattice parameters (Å, degrees): 3.3089 3.7674 4.0166 90.00 90.00 90.00
Closest atoms and distances in Å follow each position.
Fractional positions:
Li: 0.5000 0.5000 0.0000  8 Si 2.51-2.75, 4 Re 2.60
Si: 0.5000 0.0000 0.5000  4 Re 2.51, 4 Si 2.60, 4 Li 2.75
Re: 0.0000 0.5000 0.5000  8 Si 2.51-2.75, 4 Li 2.60
Si: 0.0000 0.0000 0.0000  4 Li 2.51, 4 Si 2.60, 4 Re 2.75



The following is a PBEsol calculation of a relaxed Y2POsBr crystal, from Alexandria via LeMat-Bulk.

ΔE_f (raw)	0.5931	eV/atom
M_tot	0.70	μB per formula unit

Lattice parameters (Å, degrees): 4.6151 5.2299 5.2299 90.00 90.00 90.00
Closest atoms and distances in Å follow each position.
Fractional positions:
Y: 0.0000 0.0000 0.5000  2 P 2.61
Os: 0.5000 0.5000 0.5000  8 Y 3.49, 4 Br 3.70
Y: 0.0000 0.5000 0.0000  2 P 2.61
Br: 0.5000 0.0000 0.0000  2 P 2.31
P: 0.0000 0.0000 0.0000  2 Br 2.31



The following is a PBEsol calculation of a relaxed MnTeOs2 crystal, from Alexandria via LeMat-Bulk.

ΔE_f (raw)	0.5521	eV/atom
M_tot	3.03	μB per formula unit

Lattice parameters (Å, degrees): 2.8747 3.7791 6.1464 90.00 103.52 90.00
Closest atoms and distances in Å follow each position.
Fractional positions:
Te: 0.2992 0.0000 0.5984  4 Mn 2.79, 3 Os 2.80-2.82, 2 Te 2.87
Os: 0.4720 0.5000 0.9440  1 Mn 2.45, 4 Os 2.61
Mn: 0.6772 0.5000 0.3543  5 Os 2.45-2.74
Os: 0.0635 0.0000 0.1270  6 Os 2.61-2.87, 4 Mn 2.74, 1 Te 2.82



The following is a PBEsol calculation of a relaxed Na2ScInBr crystal, from Alexandria via LeMat-Bulk.

ΔE_f (raw)	-0.1791	eV/atom
M_tot	0.01	μB per formula unit

Lattice parameters (Å, degrees): 5.1332 5.1332 5.2688 90.00 90.00 90.00
Closest atoms and distances in Å follow each position.
Fractional positions:
In: 0.5000 0.5000 0.5000  4 Sc 3.63, 8 Na 3.68
Sc: 0.0000 0.0000 0.5000  2 Br 2.63
Na: 0.5000 0.0000 0.0000  2 Br 2.57
Br: 0.0000 0.0000 0.0000  4 Na 2.57, 2 Sc 2.63
Na: 0.0000 0.5000 0.0000  2 Br 2.57



Repeat the sixth record exactly.
The following is a PBEsol calculation of a relaxed Na2ScInBr crystal, from Alexandria via LeMat-Bulk.

ΔE_f (raw)	-0.1791	eV/atom
M_tot	0.01	μB per formula unit

Lattice parameters (Å, degrees): 5.1332 5.1332 5.2688 90.00 90.00 90.00
Closest atoms and distances in Å follow each position.
Fractional positions:
In: 0.5000 0.5000 0.5000  4 Sc 3.63, 8 Na 3.68
Sc: 0.0000 0.0000 0.5000  2 Br 2.63
Na: 0.5000 0.0000 0.0000  2 Br 2.57
Br: 0.0000 0.0000 0.0000  4 Na 2.57, 2 Sc 2.63
Na: 0.0000 0.5000 0.0000  2 Br 2.57